Record 1
TmNi4B4: relaxed, PBE.

The calculation puts the energy above the most stable polymorph in this dataset at 0.036 eV per atom. Its volume is 10.44 Å³ per atom. As for the raw total energy: -6.44 eV/atom. The formation energy from the elements comes out at -410 meV per atom. The density of states at the Fermi level comes out at 0.57 states/eV/atom.

```
data_TmNi4B4
_cell_length_a 7.025
_cell_length_b 7.025
_cell_length_c 3.808
_cell_angle_alpha 90.00
_cell_angle_beta 90.00
_cell_angle_gamma 90.00
_symmetry_space_group_name_H-M 'P 42/n'
_symmetry_Int_Tables_number 86
loop_
_symmetry_equiv_pos_as_xyz
'x,y,z'
'-x,-y,-z'
'-y,x+1/2,z+1/2'
'y,-x+1/2,-z+1/2'
'-x+1/2,-y+1/2,z'
'x+1/2,y+1/2,-z'
'y+1/2,-x,z+1/2'
'-y+1/2,x,-z+1/2'
loop_
_atom_site_label
_atom_site_fract_x
_atom_site_fract_y
_atom_site_fract_z
Tm1 0.250 0.250 0.250
Ni1 0.105 0.640 0.140
B1 0.047 0.918 0.143
```


Record 2
TmNi4B4: relaxed, PBE.

The calculation puts the energy above the most stable polymorph in this dataset at 0.000 eV per atom. Its volume is 9.86 Å³ per atom. As for the raw total energy: -6.48 eV/atom. The formation energy from the elements comes out at -447 meV per atom. The density of states at the Fermi level comes out at 0.73 states/eV/atom.

```
data_TmNi4B4
_cell_length_a 5.030
_cell_length_b 5.030
_cell_length_c 7.013
_cell_angle_alpha 90.00
_cell_angle_beta 90.00
_cell_angle_gamma 90.00
_symmetry_space_group_name_H-M 'P 42/n m c'
_symmetry_Int_Tables_number 137
loop_
_symmetry_equiv_pos_as_xyz
'x,y,z'
'-x,-y,-z'
'-y+1/2,x,z+1/2'
'y+1/2,-x,-z+1/2'
'-x+1/2,-y+1/2,z'
'x+1/2,y+1/2,-z'
'y,-x+1/2,z+1/2'
'-y,x+1/2,-z+1/2'
'x+1/2,-y,-z'
'-x+1/2,y,z'
'-y,-x,-z+1/2'
'y,x,z+1/2'
'-x,y+1/2,-z'
'x,-y+1/2,z'
'y+1/2,x+1/2,-z+1/2'
'-y+1/2,-x+1/2,z+1/2'
loop_
_atom_site_label
_atom_site_fract_x
_atom_site_fract_y
_atom_site_fract_z
Tm1 0.250 0.750 0.250
Ni1 0.001 0.250 0.115
B1 0.079 0.250 0.410
```


Record 3
TmNi8B2: relaxed, PBE.

Its volume is 14.00 Å³ per atom. As for the raw total energy: -5.69 eV/atom. The formation energy from the elements comes out at 137 meV per atom. The density of states at the Fermi level comes out at 1.62 states/eV/atom.

```
data_TmNi8B2
_cell_length_a 4.754
_cell_length_b 4.754
_cell_length_c 6.813
_cell_angle_alpha 90.00
_cell_angle_beta 90.00
_cell_angle_gamma 90.00
_symmetry_space_group_name_H-M 'P 4/m m m'
_symmetry_Int_Tables_number 123
_symmetry_space_group_name_Hall '-P 4 2'
loop_
_atom_site_label
_atom_site_fract_x
_atom_site_fract_y
_atom_site_fract_z
Tm1 0.000 0.000 0.000
Ni1 0.253 0.253 0.321
B1 0.000 0.500 0.500
```


Record 4
TmNi6B6: relaxed, PBE.

Its volume is 8.94 Å³ per atom. As for the raw total energy: -6.17 eV/atom. The formation energy from the elements comes out at -81 meV per atom. The density of states at the Fermi level comes out at 0.35 states/eV/atom.

```
data_TmNi6B6
_cell_length_a 4.227
_cell_length_b 7.328
_cell_length_c 7.502
_cell_angle_alpha 90.00
_cell_angle_beta 90.00
_cell_angle_gamma 90.00
_symmetry_space_group_name_H-M 'I m m m'
_symmetry_Int_Tables_number 71
_symmetry_space_group_name_Hall '-I 2 2'
loop_
_atom_site_label
_atom_site_fract_x
_atom_site_fract_y
_atom_site_fract_z
Tm1 0.000 0.000 0.000
Ni1 0.000 0.000 0.348
Ni2 0.000 0.341 0.000
Ni3 0.000 0.500 0.309
B1 0.000 0.260 0.500
B2 0.250 0.250 0.250
```


Record 5
TmNi4B: relaxed, PBE.

The calculation puts the energy above the most stable polymorph in this dataset at 0.119 eV per atom. Its volume is 12.15 Å³ per atom. As for the raw total energy: -6.11 eV/atom. The formation energy from the elements comes out at -394 meV per atom. The density of states at the Fermi level comes out at 0.62 states/eV/atom.

```
data_TmNi4B
_cell_length_a 6.898
_cell_length_b 3.383
_cell_length_c 6.247
_cell_angle_alpha 90.00
_cell_angle_beta 90.00
_cell_angle_gamma 90.00
_symmetry_space_group_name_H-M 'P m m a'
_symmetry_Int_Tables_number 51
loop_
_symmetry_equiv_pos_as_xyz
'x,y,z'
'-x,-y,-z'
'-x+1/2,-y,z'
'x+1/2,y,-z'
'x+1/2,-y,-z'
'-x+1/2,y,z'
'-x,y,-z'
'x,-y,z'
loop_
_atom_site_label
_atom_site_fract_x
_atom_site_fract_y
_atom_site_fract_z
Tm1 0.250 0.000 0.105
Ni1 0.000 0.000 0.500
Ni2 0.070 0.500 0.788
Ni3 0.250 0.500 0.456
B1 0.250 0.000 0.676
```


Record 6
TmNi6B3: relaxed, PBE.

Its volume is 10.71 Å³ per atom. As for the raw total energy: -6.24 eV/atom. The formation energy from the elements comes out at -318 meV per atom. The density of states at the Fermi level comes out at 0.49 states/eV/atom.

```
data_TmNi6B3
_cell_length_a 4.9171
_cell_length_b 4.9171
_cell_length_c 15.3502
_cell_angle_alpha 90.00
_cell_angle_beta 90.00
_cell_angle_gamma 120.00
_symmetry_space_group_name_H-M 'R 3'
_symmetry_Int_Tables_number 146
_symmetry_space_group_name_Hall 'R 3'
loop_
_atom_site_label
_atom_site_fract_x
_atom_site_fract_y
_atom_site_fract_z
Tm1 0.0000 0.0000 0.0000
Ni1 0.0005 0.4498 0.1191
Ni2 0.0004 0.5065 0.9254
B1 0.0000 0.0000 0.1620
B2 0.0000 0.0000 0.3576
B3 0.0000 0.0000 0.6912
```


Record 7
TmNi8B4: relaxed, PBE.

Its volume is 9.86 Å³ per atom. As for the raw total energy: -6.15 eV/atom. The formation energy from the elements comes out at -196 meV per atom. The density of states at the Fermi level comes out at 0.61 states/eV/atom.

```
data_TmNi8B4
_cell_length_a 7.590
_cell_length_b 7.590
_cell_length_c 4.452
_cell_angle_alpha 90.00
_cell_angle_beta 90.00
_cell_angle_gamma 90.00
_symmetry_space_group_name_H-M 'I 4/m m m'
_symmetry_Int_Tables_number 139
_symmetry_space_group_name_Hall '-I 4 2'
loop_
_atom_site_label
_atom_site_fract_x
_atom_site_fract_y
_atom_site_fract_z
Tm1 0.000 0.000 0.000
Ni1 0.000 0.226 0.500
Ni2 0.000 0.341 0.000
B1 0.250 0.250 0.250
```


Record 8
TmNi10B2: relaxed, PBE.

Its volume is 10.96 Å³ per atom. As for the raw total energy: -6.00 eV/atom. The formation energy from the elements comes out at -178 meV per atom. The density of states at the Fermi level comes out at 1.29 states/eV/atom.

```
data_TmNi10B2
_cell_length_a 4.577
_cell_length_b 10.841
_cell_length_c 11.486
_cell_angle_alpha 90.00
_cell_angle_beta 90.00
_cell_angle_gamma 90.00
_symmetry_space_group_name_H-M 'F m m m'
_symmetry_Int_Tables_number 69
_symmetry_space_group_name_Hall '-F 2 2'
loop_
_atom_site_label
_atom_site_fract_x
_atom_site_fract_y
_atom_site_fract_z
Tm1 0.000 0.000 0.000
Ni1 0.000 0.107 0.377
Ni2 0.000 0.163 0.180
Ni3 0.250 0.250 0.000
B1 0.250 0.000 0.250
```